Material: Na3Cd2Hg2Bi4
Method: DFT, PBE-GGA
State: relaxed

Properties
V in Å³/cell: 341.38
ΔH_f (0 K) in eV per atom: -0.14
Energy in eV per atom: -2.14
Calculated density in g/cm3: 7.45

Structure (CIF):
```
data_Na3Cd2Hg2Bi4
_chemical_formula_sum 'Na3 Cd2 Hg2 Bi4'
_space_group_name_H-M_alt 'P -3 m 1'
_space_group_IT_number 164
_space_group_name_Hall '-P 3 2"'
_cell_length_a 4.8979
_cell_length_b 4.8979
_cell_length_c 16.4319
_cell_angle_alpha 90.00
_cell_angle_beta 90.00
_cell_angle_gamma 120.00
loop_
_atom_site_label
_atom_site_type_symbol
_atom_site_fract_x
_atom_site_fract_y
_atom_site_fract_z
Na1 Na 0.0000 0.0000 0.0000
Na2 Na 0.0000 0.0000 0.2673
Cd1 Cd 0.3333 0.6667 0.5666
Hg1 Hg 0.3333 0.6667 0.1760
Bi1 Bi 0.3333 0.6667 0.3767
Bi2 Bi 0.3333 0.6667 0.8802
```